{
  "formula": "GaNi2PbO6",
  "functional": "GGA+U",
  "state": "optimized geometry",
  "cell": [[-0.974, 5.034, 1.041], [-3.590, 2.597, -2.771], [-4.789, 1.266, 2.480]],
  "species": ["Ga", "Ni", "Ni", "Pb", "O", "O", "O", "O", "O", "O"],
  "frac_coords": [[0.811, 0.810, 0.568], [0.513, 0.513, 0.460], [0.019, 0.019, 0.943], [0.304, 0.305, 0.086], [0.646, 0.220, 0.252], [0.220, 0.882, 0.252], [0.882, 0.646, 0.252], [0.419, 0.734, 0.733], [0.734, 0.113, 0.734], [0.113, 0.419, 0.734]],
  "sg": "P1",
  "final_energy_ev_per_atom": -5.24
}